Compound: RbBa2Nb
Source: Alexandria via LeMat-Bulk
Functional: PBE-GGA
Structure: relaxed

abc: 9.050 9.050 9.050
angles: 90.00 90.00 90.00
Space group Fm-3m (No. 225)
Asymmetric unit:
Rb1 0.000 0.000 0.000 (multiplicity 4)
Ba1 0.250 0.250 0.250 (multiplicity 8)
Nb1 0.000 0.000 0.500 (multiplicity 4)

Relative energy among the computed polymorphs: 0 meV per atom
Electronic total energy: -2.8090 eV per atom
ΔH_f (0 K): 21.024 kcal/mol of atoms

---

Compound: RbBaSc2Nb
Source: Alexandria via LeMat-Bulk
Functional: PBE-GGA
Structure: relaxed

abc: 5.171 5.171 5.748
angles: 90.00 90.00 90.00
Space group P4/mmm (No. 123)
Asymmetric unit:
Rb1 0.000 0.000 0.000 (multiplicity 1)
Ba1 0.000 0.000 0.500 (multiplicity 1)
Sc1 0.000 0.500 0.000 (multiplicity 2)
Nb1 0.500 0.500 0.500 (multiplicity 1)

Relative energy among the computed polymorphs: 1122 meV per atom
Electronic total energy: -3.2053 eV per atom
ΔH_f (0 K): 44.262 kcal/mol of atoms

---

Compound: RbBaSc2Nb
Source: Alexandria via LeMat-Bulk
Functional: PBE-GGA
Structure: relaxed

abc: 5.283 5.283 6.402
angles: 90.00 90.00 90.00
Space group P4/mmm (No. 123)
Asymmetric unit:
Rb1 0.000 0.000 0.000 (multiplicity 1)
Ba1 0.500 0.500 0.000 (multiplicity 1)
Sc1 0.000 0.500 0.500 (multiplicity 2)
Nb1 0.000 0.000 0.500 (multiplicity 1)

Relative energy among the computed polymorphs: 0 meV per atom
Electronic total energy: -4.3274 eV per atom
ΔH_f (0 K): 18.385 kcal/mol of atoms